A geometry-optimized Ba2NiRh2 structure, computed with PBE.

a = 6.980 Å, b = 6.980 Å, c = 4.895 Å
α = 90.00°, β = 90.00°, γ = 90.00°
Fractional positions:
Rh (0.367, 0.867, 0.000)
Rh (0.133, 0.367, 0.000)
Rh (0.867, 0.633, 0.000)
Ba (0.816, 0.316, 0.500)
Ba (0.684, 0.816, 0.500)
Ba (0.184, 0.684, 0.500)
Ni (0.000, 0.000, 0.000)
Ni (0.500, 0.500, 0.000)
Ba (0.316, 0.184, 0.500)
Rh (0.633, 0.133, 0.000)

The calculated formation energy comes out at 12.7 kJ per mole of atoms. The crystal system is tetragonal. The calculation puts the total magnetic moment at 0.00 μB/cell.



A geometry-optimized BaNiRh structure, computed with PBE.

a = 4.698 Å, b = 4.698 Å, c = 4.698 Å
α = 60.00°, β = 60.00°, γ = 60.00°
Fractional positions:
Ba (0.750, 0.750, 0.750)
Ni (0.000, 0.000, 0.000)
Rh (0.500, 0.500, 0.500)

The calculated formation energy comes out at 98.1 kJ per mole of atoms. Its offset from the most stable computed form is 1.001 eV per atom. The crystal system is cubic. The calculation puts the total magnetic moment at 0.44 μB/cell.



A geometry-optimized BaNi2Rh structure, computed with PBE.

a = 4.663 Å, b = 4.663 Å, c = 4.663 Å
α = 60.00°, β = 60.00°, γ = 60.00°
Fractional positions:
Ni (0.750, 0.750, 0.750)
Rh (0.000, 0.000, 0.000)
Ba (0.500, 0.500, 0.500)
Ni (0.250, 0.250, 0.250)

The calculated formation energy comes out at 54.4 kJ per mole of atoms. The crystal system is cubic. The calculation puts the total magnetic moment at 0.37 μB/cell.



A geometry-optimized BaNiRh structure, computed with PBE.

a = 4.178 Å, b = 4.178 Å, c = 4.804 Å
α = 90.00°, β = 90.00°, γ = 120.00°
Fractional positions:
Ba (0.000, 0.000, 0.000)
Rh (0.333, 0.667, 0.500)
Ni (0.667, 0.333, 0.500)

The calculated formation energy comes out at 1.5 kJ per mole of atoms. Its offset from the most stable computed form is 0.000 eV per atom. The crystal system is hexagonal. The calculation puts the total magnetic moment at 0.87 μB/cell.



A geometry-optimized Ba2NiRh structure, computed with PBE.

a = 4.508 Å, b = 4.776 Å, c = 6.159 Å
α = 67.19°, β = 90.00°, γ = 90.00°
Fractional positions:
Rh (0.500, 0.589, 0.697)
Ba (0.000, 0.981, 0.912)
Ba (0.500, 0.266, 0.342)
Ni (0.000, 0.663, 0.549)

The calculated formation energy comes out at -8.8 kJ per mole of atoms. The crystal system is orthorhombic. The calculation puts the total magnetic moment at 0.00 μB/cell.



A geometry-optimized BaNi2Rh structure, computed with PBE.

a = 4.253 Å, b = 4.253 Å, c = 5.973 Å
α = 69.06°, β = 69.06°, γ = 59.99°
Fractional positions:
Ni (0.932, 0.932, 0.203)
Rh (0.250, 0.250, 0.250)
Ni (0.568, 0.568, 0.297)
Ba (0.750, 0.750, 0.750)

The calculated formation energy comes out at -6.8 kJ per mole of atoms. The crystal system is monoclinic. The calculation puts the total magnetic moment at 0.61 μB/cell.



A geometry-optimized BaNiSb2Rh structure, computed with PBE.

a = 4.598 Å, b = 4.598 Å, c = 6.633 Å
α = 110.28°, β = 110.28°, γ = 90.00°
Fractional positions:
Sb (0.355, 0.355, 0.710)
Sb (0.645, 0.645, 0.290)
Ba (0.000, 0.000, 0.000)
Ni (0.250, 0.750, 0.500)
Rh (0.750, 0.250, 0.500)

The crystal system is tetragonal. Its formation energy without anion corrections is -584 meV/atom. The calculation puts the total magnetic moment at 0.00 μB/cell.



A geometry-optimized BaNiSn2Rh structure, computed with PBE.

a = 4.847 Å, b = 5.614 Å, c = 4.847 Å
α = 90.00°, β = 90.00°, γ = 90.00°
Fractional positions:
Rh (0.500, 0.500, 0.500)
Ni (0.000, 0.000, 0.000)
Ba (0.000, 0.500, 0.000)
Sn (0.000, 0.000, 0.500)
Sn (0.500, 0.000, 0.000)

The calculated formation energy comes out at 16.9 kJ per mole of atoms. Its offset from the most stable computed form is 0.629 eV per atom. The crystal system is tetragonal. The calculation puts the total magnetic moment at 0.00 μB/cell.



A geometry-optimized BaNiSn2Rh structure, computed with PBE.

a = 4.677 Å, b = 4.677 Å, c = 6.532 Å
α = 110.98°, β = 110.98°, γ = 90.00°
Fractional positions:
Rh (0.750, 0.250, 0.500)
Ni (0.250, 0.750, 0.500)
Sn (0.353, 0.353, 0.705)
Sn (0.647, 0.647, 0.295)
Ba (0.000, 0.000, 0.000)

The calculated formation energy comes out at -43.8 kJ per mole of atoms. Its offset from the most stable computed form is 0.000 eV per atom. The crystal system is tetragonal. The calculation puts the total magnetic moment at 0.00 μB/cell.



A geometry-optimized BaSrNiRh structure, computed with PBE.

a = 4.296 Å, b = 4.296 Å, c = 8.662 Å
α = 75.64°, β = 75.64°, γ = 60.00°
Fractional positions:
Ni (0.441, 0.441, 0.676)
Sr (0.031, 0.031, 0.906)
Ba (0.192, 0.192, 0.423)
Rh (0.775, 0.775, 0.674)

The calculated formation energy comes out at -17.9 kJ per mole of atoms. The crystal system is trigonal. The calculation puts the total magnetic moment at 0.00 μB/cell.



A geometry-optimized Ba2YNiRh structure, computed with PBE.

a = 5.654 Å, b = 5.208 Å, c = 5.654 Å
α = 90.00°, β = 90.00°, γ = 90.00°
Fractional positions:
Y (0.000, 0.500, 0.000)
Rh (0.500, 0.500, 0.500)
Ba (0.500, 0.000, 0.000)
Ba (0.000, 0.000, 0.500)
Ni (0.000, 0.000, 0.000)

The calculated formation energy comes out at 36.0 kJ per mole of atoms. The crystal system is tetragonal. The calculation puts the total magnetic moment at 0.00 μB/cell.



A geometry-optimized Ba2Zn6NiRh structure, computed with PBE.

a = 6.815 Å, b = 6.777 Å, c = 6.699 Å
α = 59.88°, β = 61.24°, γ = 89.83°
Fractional positions:
Ba (0.144, 0.707, 0.579)
Zn (0.307, 0.239, 0.513)
Zn (0.686, 0.175, 0.064)
Ba (0.856, 0.293, 0.421)
Zn (0.693, 0.761, 0.487)
Zn (0.311, 0.234, 0.944)
Zn (0.314, 0.825, 0.936)
Rh (0.500, 0.500, 0.000)
Ni (0.000, 0.000, 0.000)
Zn (0.689, 0.766, 0.056)

The calculated formation energy comes out at -27.8 kJ per mole of atoms. The crystal system is triclinic. The calculation puts the total magnetic moment at 0.00 μB/cell.



A geometry-optimized BaNi3Ru structure, computed with PBE.

a = 4.792 Å, b = 4.792 Å, c = 4.792 Å
α = 90.00°, β = 90.00°, γ = 90.00°
Fractional positions:
Ni (0.500, 0.000, 0.000)
Ni (0.000, 0.500, 0.000)
Ni (0.000, 0.000, 0.500)
Ru (0.500, 0.500, 0.500)
Ba (0.000, 0.000, 0.000)

The calculated formation energy comes out at 221.1 kJ per mole of atoms. Its offset from the most stable computed form is 1.693 eV per atom. The crystal system is cubic. The calculation puts the total magnetic moment at 2.36 μB/cell.



A geometry-optimized Ba4NiRu structure, computed with PBE.

a = 6.827 Å, b = 6.827 Å, c = 6.827 Å
α = 60.00°, β = 60.00°, γ = 60.00°
Fractional positions:
Ba (0.375, 0.876, 0.375)
Ru (0.000, 0.000, 0.000)
Ni (0.750, 0.750, 0.750)
Ba (0.375, 0.375, 0.375)
Ba (0.375, 0.375, 0.876)
Ba (0.876, 0.375, 0.375)

The calculated formation energy comes out at 126.7 kJ per mole of atoms. The crystal system is cubic. The calculation puts the total magnetic moment at 0.55 μB/cell.



A geometry-optimized BaNiRu4 structure, computed with PBE.

a = 5.364 Å, b = 5.364 Å, c = 5.364 Å
α = 60.00°, β = 60.00°, γ = 60.00°
Fractional positions:
Ru (0.373, 0.373, 0.373)
Ru (0.373, 0.880, 0.373)
Ba (0.750, 0.750, 0.750)
Ru (0.880, 0.373, 0.373)
Ni (0.000, 0.000, 0.000)
Ru (0.373, 0.373, 0.880)

The calculated formation energy comes out at 84.9 kJ per mole of atoms. The crystal system is cubic. The calculation puts the total magnetic moment at 4.87 μB/cell.



A geometry-optimized BaNi3Ru structure, computed with PBE.

a = 4.682 Å, b = 4.682 Å, c = 4.682 Å
α = 90.00°, β = 90.00°, γ = 90.00°
Fractional positions:
Ni (0.000, 0.000, 0.500)
Ba (0.500, 0.500, 0.500)
Ni (0.500, 0.000, 0.000)
Ru (0.000, 0.000, 0.000)
Ni (0.000, 0.500, 0.000)

The calculated formation energy comes out at 57.8 kJ per mole of atoms. Its offset from the most stable computed form is 0.000 eV per atom. The crystal system is cubic. The calculation puts the total magnetic moment at 1.96 μB/cell.



A geometry-optimized BaNi2Ru2 structure, computed with PBE.

a = 4.298 Å, b = 4.298 Å, c = 5.863 Å
α = 68.50°, β = 68.50°, γ = 90.00°
Fractional positions:
Ba (0.000, 0.000, 0.000)
Ni (0.250, 0.750, 0.500)
Ru (0.384, 0.384, 0.233)
Ni (0.750, 0.250, 0.500)
Ru (0.616, 0.616, 0.767)

The calculated formation energy comes out at 43.7 kJ per mole of atoms. The crystal system is tetragonal. The calculation puts the total magnetic moment at 0.00 μB/cell.



A geometry-optimized BaNi2RuS structure, computed with PBE.

a = 4.835 Å, b = 5.655 Å, c = 4.835 Å
α = 90.00°, β = 90.00°, γ = 90.00°
Fractional positions:
Ni (0.000, 0.000, 0.500)
Ni (0.500, 0.000, 0.000)
S (0.000, 0.500, 0.000)
Ru (0.500, 0.500, 0.500)
Ba (0.000, 0.000, 0.000)

Its offset from the most stable computed form is 1.924 eV per atom. The crystal system is tetragonal. Its formation energy without anion corrections is 1990 meV/atom. The calculation puts the total magnetic moment at 3.37 μB/cell.



A geometry-optimized BaNi2RuS structure, computed with PBE.

a = 4.773 Å, b = 4.514 Å, c = 4.773 Å
α = 90.00°, β = 90.00°, γ = 90.00°
Fractional positions:
Ru (0.000, 0.000, 0.000)
S (0.000, 0.500, 0.000)
Ni (0.500, 0.000, 0.000)
Ni (0.000, 0.000, 0.500)
Ba (0.500, 0.500, 0.500)

Its offset from the most stable computed form is 0.000 eV per atom. The crystal system is tetragonal. Its formation energy without anion corrections is 65 meV/atom. The calculation puts the total magnetic moment at 1.55 μB/cell.



A geometry-optimized BaVNi2Ru structure, computed with PBE.

a = 4.696 Å, b = 4.473 Å, c = 4.696 Å
α = 90.00°, β = 90.00°, γ = 90.00°
Fractional positions:
Ni (0.500, 0.000, 0.000)
Ru (0.000, 0.500, 0.000)
Ba (0.500, 0.500, 0.500)
V (0.000, 0.000, 0.000)
Ni (0.000, 0.000, 0.500)

The calculated formation energy comes out at 51.7 kJ per mole of atoms. The crystal system is tetragonal. The calculation puts the total magnetic moment at 0.00 μB/cell.